No. 1
AlInOF2 after structural relaxation. Source: the Alexandria database, functional PBE.

Unit cell a=4.232 b=4.232 c=3.554 alpha=90.00 beta=90.00 gamma=90.00
Sites, in units of the cell vectors:
In: 0.500 0.500 0.500
F: 0.500 0.000 0.000
F: 0.000 0.500 0.000
Al: 0.000 0.000 0.000
O: 0.000 0.000 0.500

* E_form (uncorrected): -2.308 eV/atom
* E_tot: -26.72 eV/cell
* space group: No. 123

---

No. 2
Al2InOF after structural relaxation. Source: the Alexandria database, functional PBE.

Unit cell a=3.874 b=6.901 c=3.874 alpha=90.00 beta=90.00 gamma=90.00
Sites, in units of the cell vectors:
In: 0.000 0.500 0.000
O: 0.000 0.000 0.000
Al: 0.500 0.000 0.000
Al: 0.000 0.000 0.500
F: 0.500 0.500 0.500

* E_form (uncorrected): -0.716 eV/atom
* E_tot: -20.64 eV/cell
* space group: No. 123

---

No. 3
AlInO2F after structural relaxation. Source: the Alexandria database, functional PBE.

Unit cell a=3.846 b=3.846 c=3.723 alpha=90.00 beta=90.00 gamma=90.00
Sites, in units of the cell vectors:
O: 0.000 0.500 0.000
O: 0.500 0.000 0.000
F: 0.000 0.000 0.500
Al: 0.000 0.000 0.000
In: 0.500 0.500 0.500

* E_form (uncorrected): -2.095 eV/atom
* E_tot: -28.74 eV/cell
* space group: No. 123

---

No. 4
AlInOF2 after structural relaxation. Source: the Alexandria database, functional PBE.

Unit cell a=4.365 b=4.365 c=4.104 alpha=90.00 beta=90.00 gamma=90.00
Sites, in units of the cell vectors:
F: 0.000 0.500 0.000
F: 0.500 0.000 0.000
In: 0.000 0.000 0.000
O: 0.000 0.000 0.500
Al: 0.500 0.500 0.500

* E_form (uncorrected): -1.490 eV/atom
* E_tot: -22.63 eV/cell
* space group: No. 123

---

No. 5
AlInO2F after structural relaxation. Source: the Alexandria database, functional PBE.

Unit cell a=4.207 b=4.207 c=4.134 alpha=90.00 beta=90.00 gamma=90.00
Sites, in units of the cell vectors:
In: 0.000 0.000 0.000
O: 0.000 0.500 0.000
O: 0.500 0.000 0.000
Al: 0.500 0.500 0.500
F: 0.000 0.000 0.500

* E_form (uncorrected): -1.019 eV/atom
* E_tot: -23.36 eV/cell
* space group: No. 123

---

No. 6
AlIn2PbF6 after structural relaxation. Source: the Alexandria database, functional PBE.

Unit cell a=6.762 b=7.063 c=7.698 alpha=42.80 beta=47.10 gamma=70.02
Sites, in units of the cell vectors:
F: 0.702 0.320 0.871
F: 0.747 0.521 0.022
F: 0.253 0.479 0.978
F: 0.263 0.136 0.461
F: 0.737 0.864 0.539
F: 0.298 0.680 0.129
Pb: 0.000 0.000 0.000
In: 0.711 0.295 0.485
In: 0.289 0.705 0.515
Al: 0.500 0.500 0.000

* E_form (uncorrected): -2.393 eV/atom
* E_tot: -48.09 eV/cell
* space group: No. 2

---

No. 7
AlInPbF6 after structural relaxation. Source: the Alexandria database, functional PBE.

Unit cell a=5.733 b=5.734 c=5.243 alpha=90.03 beta=89.97 gamma=59.91
Sites, in units of the cell vectors:
F: 0.134 0.233 0.325
F: 0.633 0.133 0.324
F: 0.450 0.027 0.717
F: 0.233 0.632 0.324
F: 0.026 0.525 0.717
F: 0.524 0.450 0.717
Pb: 0.666 0.667 0.408
In: 0.000 0.000 0.946
Al: 0.333 0.333 0.522

* E_form (uncorrected): -2.731 eV/atom
* E_tot: -45.99 eV/cell
* space group: No. 1

---

No. 8
AlInPb2F8 after structural relaxation. Source: the Alexandria database, functional PBE.

Unit cell a=5.358 b=5.140 c=7.644 alpha=90.18 beta=91.63 gamma=88.90
Sites, in units of the cell vectors:
F: 0.254 0.233 0.044
F: 0.193 0.838 0.835
F: 0.127 0.786 0.176
F: 0.807 0.162 0.165
F: 0.360 0.295 0.470
F: 0.640 0.705 0.530
F: 0.746 0.767 0.956
F: 0.873 0.214 0.824
In: 0.000 0.000 0.500
Pb: 0.489 0.476 0.764
Pb: 0.511 0.524 0.236
Al: 0.000 0.000 0.000

* E_form (uncorrected): -2.618 eV/atom
* E_tot: -60.29 eV/cell
* space group: No. 2

---

No. 9
RbAlIn2F6 after structural relaxation. Source: the Alexandria database, functional PBE.

Unit cell a=6.846 b=6.834 c=6.165 alpha=55.16 beta=55.25 gamma=59.11
Sites, in units of the cell vectors:
Al: 0.316 0.316 0.052
F: 0.472 0.190 0.288
F: 0.589 0.157 0.815
F: 0.160 0.443 0.815
F: 0.442 0.588 0.808
F: 0.043 0.476 0.288
F: 0.191 0.044 0.295
In: 0.548 0.549 0.363
In: 0.085 0.083 0.741
Rb: 0.816 0.816 0.551

* E_form (uncorrected): -2.663 eV/atom
* E_tot: -48.05 eV/cell
* space group: No. 2

---

No. 10
RbAl2InF8 after structural relaxation. Source: the Alexandria database, functional PBE.

Unit cell a=5.988 b=5.988 c=8.081 alpha=68.25 beta=68.25 gamma=60.00
Sites, in units of the cell vectors:
F: 0.502 0.323 0.203
F: 0.836 0.836 0.492
F: 0.677 0.029 0.797
F: 0.164 0.164 0.508
F: 0.971 0.502 0.203
F: 0.323 0.971 0.203
F: 0.498 0.677 0.797
F: 0.029 0.498 0.797
Al: 0.759 0.759 0.724
Al: 0.241 0.241 0.276
Rb: 0.500 0.500 0.500
In: 0.000 0.000 0.000

* E_form (uncorrected): -3.078 eV/atom
* E_tot: -63.10 eV/cell
* space group: No. 148

---

No. 11
Al2InReF after structural relaxation. Source: the Alexandria database, functional PBE.

Unit cell a=4.364 b=4.324 c=4.364 alpha=90.00 beta=90.00 gamma=90.00
Sites, in units of the cell vectors:
Re: 0.000 0.500 0.000
Al: 0.000 0.000 0.500
Al: 0.500 0.000 0.000
F: 0.000 0.000 0.000
In: 0.500 0.500 0.500

* E_form (uncorrected): 0.349 eV/atom
* E_tot: -22.80 eV/cell
* space group: No. 123

---

No. 12
Sc2AlInF after structural relaxation. Source: the Alexandria database, functional PBE.

Unit cell a=5.278 b=4.937 c=5.278 alpha=90.00 beta=90.00 gamma=90.00
Sites, in units of the cell vectors:
F: 0.500 0.500 0.500
Al: 0.000 0.000 0.000
In: 0.000 0.500 0.000
Sc: 0.000 0.000 0.500
Sc: 0.500 0.000 0.000

* E_form (uncorrected): 0.058 eV/atom
* E_tot: -20.72 eV/cell
* space group: No. 123

---

Look up the E_tot of the twelfth one.
-20.72 eV/cell

---

Which value of E_tot does entry 5 give?
-23.36 eV/cell

---

E_form (uncorrected) of number 6 (AlIn2PbF6)?
-2.393 eV/atom